1.
# GGA-PBE K2Mn2CrSe4, optimized geometry
data_K2Mn2CrSe4
_cell_length_a 16.808
_cell_length_b 3.972
_cell_length_c 7.560
_cell_angle_alpha 90.00
_cell_angle_beta 107.29
_cell_angle_gamma 90.00
_space_group_name_H-M_alt 'C 1 2/m 1'
_space_group_IT_number 12
_space_group_name_Hall '-C 2y'
loop_
_atom_site_label
_atom_site_type_symbol
_atom_site_fract_x
_atom_site_fract_y
_atom_site_fract_z
K1 K 0.123 0.000 0.027
Mn1 Mn 0.172 0.500 0.493
Cr1 Cr 0.000 0.000 0.500
Se1 Se 0.023 0.500 0.293
Se2 Se 0.224 0.000 0.709
# Total DFT energy (no corrections)   -5.573 eV/atom
# Magnetic moment   28.03 Bohr magnetons per cell


2.
# GGA-PBE KMnCrSe4, optimized geometry
data_KMnCrSe4
_cell_length_a 6.471
_cell_length_b 6.909
_cell_length_c 8.332
_cell_angle_alpha 90.00
_cell_angle_beta 96.79
_cell_angle_gamma 90.00
_space_group_name_H-M_alt 'P 1 21/m 1'
_space_group_IT_number 11
_space_group_name_Hall '-P 2yb'
loop_
_atom_site_label
_atom_site_type_symbol
_atom_site_fract_x
_atom_site_fract_y
_atom_site_fract_z
K1 K 0.209 0.250 0.061
Mn1 Mn 0.370 0.250 0.652
Cr1 Cr 0.142 0.750 0.461
Se1 Se 0.105 0.004 0.683
Se2 Se 0.300 0.750 0.189
Se3 Se 0.498 0.750 0.597
# Density of states at the Fermi level   0.465 states/eV per atom
# Total DFT energy (no corrections)   -5.355 eV/atom
# Magnetic moment   12.00 Bohr magnetons per cell


3.
# GGA-PBE KMnCr2Sn, optimized geometry
data_KMnCr2Sn
_cell_length_a 5.417
_cell_length_b 5.417
_cell_length_c 5.268
_cell_angle_alpha 90.00
_cell_angle_beta 90.00
_cell_angle_gamma 90.00
_space_group_name_H-M_alt 'P 4/m m m'
_space_group_IT_number 123
_space_group_name_Hall '-P 4 2'
loop_
_atom_site_label
_atom_site_type_symbol
_atom_site_fract_x
_atom_site_fract_y
_atom_site_fract_z
K1 K 0.000 0.000 0.000
Mn1 Mn 0.500 0.500 0.000
Cr1 Cr 0.000 0.500 0.500
Sn1 Sn 0.500 0.500 0.500
# Density of states at the Fermi level   0.508 states/eV per atom
# Calculated formation energy   1.0447 eV per atom
# Total DFT energy (no corrections)   -5.659 eV/atom
# Magnetic moment   13.89 Bohr magnetons per cell


4.
# GGA-PBE KMnCrTe3, optimized geometry
data_KMnCrTe3
_cell_length_a 9.151
_cell_length_b 4.197
_cell_length_c 10.332
_cell_angle_alpha 90.00
_cell_angle_beta 110.26
_cell_angle_gamma 90.00
_space_group_name_H-M_alt 'P 1 21/m 1'
_space_group_IT_number 11
_space_group_name_Hall '-P 2yb'
loop_
_atom_site_label
_atom_site_type_symbol
_atom_site_fract_x
_atom_site_fract_y
_atom_site_fract_z
K1 K 0.214 0.250 0.250
Mn1 Mn 0.077 0.250 0.606
Cr1 Cr 0.335 0.750 0.859
Te1 Te 0.133 0.250 0.874
Te2 Te 0.239 0.750 0.555
Te3 Te 0.467 0.750 0.139
# Density of states at the Fermi level   0.337 states/eV per atom
# Total DFT energy (no corrections)   -5.289 eV/atom
# Magnetic moment   15.41 Bohr magnetons per cell


5.
# GGA-PBE K2MnCrTe4, optimized geometry
data_K2MnCrTe4
_cell_length_a 8.695
_cell_length_b 8.859
_cell_length_c 12.477
_cell_angle_alpha 90.00
_cell_angle_beta 90.00
_cell_angle_gamma 90.00
_space_group_name_H-M_alt 'I m m a'
_space_group_IT_number 74
_space_group_name_Hall '-I 2b 2'
loop_
_atom_site_label
_atom_site_type_symbol
_atom_site_fract_x
_atom_site_fract_y
_atom_site_fract_z
K1 K 0.000 0.000 0.000
K2 K 0.250 0.250 0.250
Mn1 Mn 0.000 0.000 0.500
Cr1 Cr 0.250 0.250 0.750
Te1 Te 0.000 0.046 0.733
Te2 Te 0.210 0.250 0.524
# Density of states at the Fermi level   0.428 states/eV per atom
# Total DFT energy (no corrections)   -4.650 eV/atom
# Magnetic moment   27.99 Bohr magnetons per cell


6.
# GGA-PBE K2MnCr2Te6, optimized geometry
data_K2MnCr2Te6
_cell_length_a 6.981
_cell_length_b 12.100
_cell_length_c 8.604
_cell_angle_alpha 90.00
_cell_angle_beta 105.68
_cell_angle_gamma 90.00
_space_group_name_H-M_alt 'C 1 2/m 1'
_space_group_IT_number 12
_space_group_name_Hall '-C 2y'
loop_
_atom_site_label
_atom_site_type_symbol
_atom_site_fract_x
_atom_site_fract_y
_atom_site_fract_z
K1 K 0.000 0.166 0.000
Mn1 Mn 0.000 0.000 0.500
Cr1 Cr 0.000 0.332 0.500
Te1 Te 0.225 0.165 0.677
Te2 Te 0.227 0.500 0.676
# Density of states at the Fermi level   0.190 states/eV per atom
# Total DFT energy (no corrections)   -4.965 eV/atom
# Magnetic moment   18.14 Bohr magnetons per cell